Material: PuSCl2
Method: DFT, PBE
State: relaxed

Unit cell a=5.089 b=5.089 c=7.495 alpha=109.08 beta=109.08 gamma=43.00
Atoms (fractional coordinates):
Pu 0.000 0.000 0.000
S 0.716 0.716 0.000
Cl 0.371 0.371 0.725
Cl 0.524 0.524 0.275

Calculated values
SG: No. 8
uncorrected formation energy: -5.7 eV per formula unit
mass density: 4.65 g/cm³

***

Material: Sc4Pd2Ru
Method: DFT, PBE
State: relaxed

Unit cell a=5.653 b=5.653 c=4.583 alpha=90.00 beta=90.00 gamma=110.56
Atoms (fractional coordinates):
Sc 0.000 0.500 0.500
Sc 0.250 0.250 0.000
Sc 0.500 0.000 0.500
Sc 0.750 0.750 0.000
Pd 0.244 0.756 0.000
Pd 0.756 0.244 0.000
Ru 0.000 0.000 0.500

Calculated values
energy of formation: -0.66 eV/atom
SG: No. 65
mass density: 5.98 g/cm³

***

no.,magnetic moment (Bohr magnetons per cell)
1,4.00
2,0.00